First-principles (PBE with a Hubbard U) data for a relaxed BaHg2MoO6 crystal, as listed in Alexandria. Values from VASP.

Summary:
The value obtained for the spin magnetization is 0.0 μB per cell. The energy comes out at -5.223 eV per atom.

Structure (Quantum ESPRESSO input):
```
&SYSTEM
  ibrav = 0, nat = 10, ntyp = 4
/
ATOMIC_SPECIES
Ba 137.33 Ba.upf
Hg 200.59 Hg.upf
Mo 95.94 Mo.upf
O 16.00 O.upf
CELL_PARAMETERS angstrom
3.0200 1.7436 5.1283
-3.0200 1.7436 5.1283
0.0000 -3.4871 5.1283
ATOMIC_POSITIONS crystal
Ba 0.0000 0.0000 0.0000
Hg 0.2774 0.2774 0.2774
Hg 0.7440 0.7440 0.7440
Mo 0.4949 0.4949 0.4949
O 0.1374 0.6424 0.4277
O 0.2836 0.5490 0.8255
O 0.4277 0.1374 0.6424
O 0.5490 0.8255 0.2836
O 0.6424 0.4277 0.1374
O 0.8255 0.2836 0.5490
```